# YInGaAu2 | the Open Quantum Materials Database | PBE | optimized geometry
# Volume ... 21.70 Å³/atom
# ρ ... 10.22 g cm⁻³
# Final energy ... -4.313 eV/atom
data_YInGaAu2
_cell_length_a 4.372
_cell_length_b 4.372
_cell_length_c 11.351
_cell_angle_alpha 90.00
_cell_angle_beta 90.00
_cell_angle_gamma 90.00
_symmetry_space_group_name_H-M 'P 4/n m m'
_symmetry_Int_Tables_number 129
loop_
_symmetry_equiv_pos_as_xyz
'x,y,z'
'-x,-y,-z'
'-y+1/2,x,z'
'y+1/2,-x,-z'
'-x+1/2,-y+1/2,z'
'x+1/2,y+1/2,-z'
'y,-x+1/2,z'
'-y,x+1/2,-z'
'x+1/2,-y,-z'
'-x+1/2,y,z'
'-y,-x,-z'
'y,x,z'
'-x,y+1/2,-z'
'x,-y+1/2,z'
'y+1/2,x+1/2,-z'
'-y+1/2,-x+1/2,z'
loop_
_atom_site_label
_atom_site_type_symbol
_atom_site_fract_x
_atom_site_fract_y
_atom_site_fract_z
_atom_site_occupancy
Y1 Y 0.250 0.250 0.228 1
In1 In 0.250 0.750 0.500 1
Ga1 Ga 0.250 0.250 0.874 1
Au1 Au 0.250 0.250 0.657 1
Au2 Au 0.250 0.750 0.000 1

# Ga2IrAu2 | the Open Quantum Materials Database | PBE | optimized geometry
# Volume ... 17.51 Å³/atom
# ρ ... 13.76 g cm⁻³
# Final energy ... -3.945 eV/atom
data_Ga2IrAu2
_cell_length_a 3.739
_cell_length_b 3.739
_cell_length_c 12.527
_cell_angle_alpha 90.00
_cell_angle_beta 90.00
_cell_angle_gamma 90.00
_symmetry_space_group_name_H-M 'I 4/m m m'
_symmetry_Int_Tables_number 139
_symmetry_space_group_name_Hall '-I 4 2'
loop_
_atom_site_label
_atom_site_type_symbol
_atom_site_fract_x
_atom_site_fract_y
_atom_site_fract_z
_atom_site_occupancy
Ga1 Ga 0.000 0.500 0.250 1
Ir1 Ir 0.000 0.000 0.000 1
Au1 Au 0.000 0.000 0.394 1